Run P
Below is a relaxed structure of BaTaP2Cl, with properties calculated at the PBE-GGA level.

Unit cell a=4.8957 b=4.8957 c=5.0648 alpha=90.00 beta=90.00 gamma=90.00
Positions (direct):
1 Ba 0.0000 0.0000 0.0000
2 Ta 0.5000 0.5000 0.5000
3 P 0.0000 0.5000 0.5000
4 P 0.5000 0.0000 0.5000
5 Cl 0.5000 0.5000 0.0000

Computed properties:
DOS at the Fermi energy in states/eV per cell: 1.344
V in Å³/cell: 121

***

Run Q
Below is a relaxed structure of BaTaP2Cl, with properties calculated at the PBE-GGA level.

Unit cell a=5.5486 b=5.5486 c=5.3952 alpha=90.00 beta=90.00 gamma=90.00
Positions (direct):
1 Ba 0.0000 0.0000 0.0000
2 Ta 0.5000 0.5000 0.5000
3 P 0.0000 0.5000 0.0000
4 P 0.5000 0.0000 0.0000
5 Cl 0.0000 0.0000 0.5000

Computed properties:
DOS at the Fermi energy in states/eV per cell: 11.983
V in Å³/cell: 166

***

Least stable structure: run Q

***

Run P
Below is a relaxed structure of BaTcPCl2, with properties calculated at the PBE-GGA level.

Unit cell a=5.8307 b=5.8307 c=6.5372 alpha=90.00 beta=90.00 gamma=90.00
Positions (direct):
1 Ba 0.0000 0.0000 0.0000
2 Tc 0.5000 0.5000 0.5000
3 P 0.0000 0.0000 0.5000
4 Cl 0.0000 0.5000 0.0000
5 Cl 0.5000 0.0000 0.0000

Computed properties:
DOS at the Fermi energy in states/eV per cell: 5.483
V in Å³/cell: 222

***

Run Q
Below is a relaxed structure of BaTcPCl2, with properties calculated at the PBE-GGA level.

Unit cell a=5.0729 b=5.0729 c=4.6173 alpha=90.00 beta=90.00 gamma=90.00
Positions (direct):
1 Ba 0.0000 0.0000 0.0000
2 Tc 0.5000 0.5000 0.5000
3 P 0.5000 0.5000 0.0000
4 Cl 0.0000 0.5000 0.5000
5 Cl 0.5000 0.0000 0.5000

Computed properties:
DOS at the Fermi energy in states/eV per cell: 4.021
V in Å³/cell: 119

***

Least stable structure: run P

***

Run P
Below is a relaxed structure of BaTlP2Cl, with properties calculated at the PBE-GGA level.

Unit cell a=5.0785 b=5.0785 c=5.8570 alpha=90.00 beta=90.00 gamma=90.00
Positions (direct):
1 Ba 0.0000 0.0000 0.0000
2 Tl 0.5000 0.5000 0.5000
3 P 0.0000 0.5000 0.5000
4 P 0.5000 0.0000 0.5000
5 Cl 0.5000 0.5000 0.0000

Computed properties:
DOS at the Fermi energy in states/eV per cell: 2.213
V in Å³/cell: 151

***

Run Q
Below is a relaxed structure of BaTlP2Cl, with properties calculated at the PBE-GGA level.

Unit cell a=6.2816 b=6.2816 c=5.8951 alpha=90.00 beta=90.00 gamma=90.00
Positions (direct):
1 Ba 0.0000 0.0000 0.0000
2 Tl 0.5000 0.5000 0.5000
3 P 0.0000 0.5000 0.0000
4 P 0.5000 0.0000 0.0000
5 Cl 0.0000 0.0000 0.5000

Computed properties:
DOS at the Fermi energy in states/eV per cell: 1.922
V in Å³/cell: 233

***

Least stable structure: run Q

***

Run P
Below is a relaxed structure of BaTlPCl2, with properties calculated at the PBE-GGA level.

Unit cell a=5.9449 b=5.9449 c=6.3945 alpha=90.00 beta=90.00 gamma=90.00
Positions (direct):
1 Ba 0.0000 0.0000 0.0000
2 Tl 0.5000 0.5000 0.5000
3 P 0.0000 0.0000 0.5000
4 Cl 0.0000 0.5000 0.0000
5 Cl 0.5000 0.0000 0.0000

Computed properties:
DOS at the Fermi energy in states/eV per cell: 2.997
V in Å³/cell: 226

***

Run Q
Below is a relaxed structure of BaTlPCl2, with properties calculated at the PBE-GGA level.

Unit cell a=5.5227 b=5.5227 c=5.2011 alpha=90.00 beta=90.00 gamma=90.00
Positions (direct):
1 Ba 0.0000 0.0000 0.0000
2 Tl 0.5000 0.5000 0.5000
3 P 0.5000 0.5000 0.0000
4 Cl 0.0000 0.5000 0.5000
5 Cl 0.5000 0.0000 0.5000

Computed properties:
DOS at the Fermi energy in states/eV per cell: 4.300
V in Å³/cell: 159

***

Least stable structure: run P

***

Run P
Below is a relaxed structure of BaP2WCl, with properties calculated at the PBE-GGA level.

Unit cell a=6.1830 b=6.1830 c=5.6715 alpha=90.00 beta=90.00 gamma=90.00
Positions (direct):
1 Ba 0.0000 0.0000 0.0000
2 P 0.0000 0.5000 0.0000
3 P 0.5000 0.0000 0.0000
4 W 0.5000 0.5000 0.5000
5 Cl 0.0000 0.0000 0.5000

Computed properties:
DOS at the Fermi energy in states/eV per cell: 5.686
V in Å³/cell: 217

***

Run Q
Below is a relaxed structure of BaP2WCl, with properties calculated at the PBE-GGA level.

Unit cell a=4.7276 b=4.7276 c=5.3054 alpha=90.00 beta=90.00 gamma=90.00
Positions (direct):
1 Ba 0.0000 0.0000 0.0000
2 P 0.0000 0.5000 0.5000
3 P 0.5000 0.0000 0.5000
4 W 0.5000 0.5000 0.5000
5 Cl 0.5000 0.5000 0.0000

Computed properties:
DOS at the Fermi energy in states/eV per cell: 2.903
V in Å³/cell: 119

***

Least stable structure: run P

***

Run P
Below is a relaxed structure of BaZnPCl2, with properties calculated at the PBE-GGA level.

Unit cell a=5.1896 b=5.1896 c=4.7531 alpha=90.00 beta=90.00 gamma=90.00
Positions (direct):
1 Ba 0.0000 0.0000 0.0000
2 Zn 0.5000 0.5000 0.5000
3 P 0.5000 0.5000 0.0000
4 Cl 0.0000 0.5000 0.5000
5 Cl 0.5000 0.0000 0.5000

Computed properties:
DOS at the Fermi energy in states/eV per cell: 2.528
V in Å³/cell: 128

***

Run Q
Below is a relaxed structure of BaZnPCl2, with properties calculated at the PBE-GGA level.

Unit cell a=5.9324 b=5.9324 c=7.5601 alpha=90.00 beta=90.00 gamma=90.00
Positions (direct):
1 Ba 0.0000 0.0000 0.0000
2 Zn 0.5000 0.5000 0.5000
3 P 0.0000 0.0000 0.5000
4 Cl 0.0000 0.5000 0.0000
5 Cl 0.5000 0.0000 0.0000

Computed properties:
DOS at the Fermi energy in states/eV per cell: 0.208
V in Å³/cell: 266

***

Least stable structure: run Q

***

Run P
Below is a relaxed structure of BaPb2Cl, with properties calculated at the PBE-GGA level.

Unit cell a=3.8482 b=3.8482 c=32.3598 alpha=90.00 beta=90.00 gamma=120.00
Positions (direct):
1 Ba 0.0000 0.0000 0.0000
2 Ba 0.3333 0.6667 0.6667
3 Ba 0.6667 0.3333 0.3333
4 Pb 0.0000 0.0000 0.2376
5 Pb 0.0000 0.0000 0.7624
6 Pb 0.3333 0.6667 0.4290
7 Pb 0.3333 0.6667 0.9043
8 Pb 0.6667 0.3333 0.0957
9 Pb 0.6667 0.3333 0.5710
10 Cl 0.0000 0.0000 0.5000
11 Cl 0.3333 0.6667 0.1667
12 Cl 0.6667 0.3333 0.8333

Computed properties:
DOS at the Fermi energy in states/eV per cell: 10.005
V in Å³/cell: 415

***

Run Q
Below is a relaxed structure of BaPb2Cl, with properties calculated at the PBE-GGA level.

Unit cell a=4.4863 b=7.1747 c=4.5154 alpha=90.00 beta=91.92 gamma=90.00
Positions (direct):
1 Ba 0.0000 0.0000 0.0000
2 Pb 0.2439 0.5000 0.7564
3 Pb 0.7561 0.5000 0.2436
4 Cl 0.5000 0.0000 0.5000

Computed properties:
DOS at the Fermi energy in states/eV per cell: 2.721
V in Å³/cell: 145

***

Least stable structure: run P

***

Run P
Below is a relaxed structure of BaPbCl2, with properties calculated at the PBE-GGA level.

Unit cell a=4.3729 b=4.3729 c=7.3005 alpha=90.00 beta=90.00 gamma=90.00
Positions (direct):
1 Ba 0.0000 0.0000 0.0000
2 Pb 0.5000 0.5000 0.6621
3 Cl 0.0000 0.0000 0.4001
4 Cl 0.5000 0.5000 0.0701

Computed properties:
DOS at the Fermi energy in states/eV per cell: 3.015
V in Å³/cell: 140

***

Run Q
Below is a relaxed structure of BaPbCl2, with properties calculated at the PBE-GGA level.

Unit cell a=8.0374 b=8.0374 c=8.0374 alpha=90.00 beta=90.00 gamma=90.00
Positions (direct):
1 Ba 0.0000 0.0000 0.0000
2 Ba 0.0000 0.5000 0.5000
3 Ba 0.5000 0.0000 0.5000
4 Ba 0.5000 0.5000 0.0000
5 Pb 0.2500 0.2500 0.2500
6 Pb 0.2500 0.7500 0.7500
7 Pb 0.7500 0.2500 0.7500
8 Pb 0.7500 0.7500 0.2500
9 Cl 0.0000 0.0000 0.5000
10 Cl 0.0000 0.5000 0.0000
11 Cl 0.2500 0.2500 0.7500
12 Cl 0.2500 0.7500 0.2500
13 Cl 0.5000 0.0000 0.0000
14 Cl 0.5000 0.5000 0.5000
15 Cl 0.7500 0.2500 0.2500
16 Cl 0.7500 0.7500 0.7500

Computed properties:
DOS at the Fermi energy in states/eV per cell: 16.231
V in Å³/cell: 519

***

Run R
Below is a relaxed structure of BaPbCl2, with properties calculated at the PBE-GGA level.

Unit cell a=4.4183 b=4.4183 c=13.0826 alpha=90.00 beta=90.00 gamma=90.00
Positions (direct):
1 Ba 0.0000 0.0000 0.0000
2 Ba 0.5000 0.5000 0.5000
3 Pb 0.0000 0.5000 0.2500
4 Pb 0.5000 0.0000 0.7500
5 Cl 0.0000 0.0000 0.5000
6 Cl 0.0000 0.5000 0.7500
7 Cl 0.5000 0.0000 0.2500
8 Cl 0.5000 0.5000 0.0000

Computed properties:
DOS at the Fermi energy in states/eV per cell: 5.606
V in Å³/cell: 255

***

Least stable structure: run Q

***

Run P
Below is a relaxed structure of BaPbCl4, with properties calculated at the PBE-GGA level.

Unit cell a=6.1826 b=6.1826 c=6.1826 alpha=60.00 beta=60.00 gamma=60.00
Positions (direct):
1 Ba 0.0000 0.0000 0.0000
2 Pb 0.2500 0.2500 0.2500
3 Cl 0.1237 0.6254 0.6254
4 Cl 0.6254 0.1237 0.6254
5 Cl 0.6254 0.6254 0.1237
6 Cl 0.6254 0.6254 0.6254

Computed properties:
DOS at the Fermi energy in states/eV per cell: 6.433
V in Å³/cell: 167

***

Run Q
Below is a relaxed structure of BaPbCl4, with properties calculated at the PBE-GGA level.

Unit cell a=7.2488 b=7.2141 c=7.2136 alpha=90.00 beta=90.06 gamma=90.00
Positions (direct):
1 Ba 0.0000 0.0000 0.0000
2 Ba 0.0000 0.5000 0.5000
3 Pb 0.5000 0.0000 0.5000
4 Pb 0.5000 0.5000 0.0000
5 Cl 0.2612 0.2495 0.2506
6 Cl 0.2612 0.2505 0.7506
7 Cl 0.2607 0.7493 0.2494
8 Cl 0.2607 0.7507 0.7494
9 Cl 0.7393 0.2493 0.2506
10 Cl 0.7393 0.2507 0.7506
11 Cl 0.7388 0.7495 0.2494
12 Cl 0.7388 0.7505 0.7494

Computed properties:
DOS at the Fermi energy in states/eV per cell: 0.000
V in Å³/cell: 377

***

Run R
Below is a relaxed structure of BaPbCl4, with properties calculated at the PBE-GGA level.

Unit cell a=8.2125 b=8.2125 c=8.2125 alpha=109.84 beta=106.89 gamma=111.72
Positions (direct):
1 Ba 0.4187 0.1687 0.2500
2 Ba 0.5813 0.8313 0.7500
3 Pb 0.0000 0.0000 0.5000
4 Pb 0.0000 0.5000 0.0000
5 Cl 0.1105 0.1838 0.9266
6 Cl 0.2428 0.8162 0.4266
7 Cl 0.3056 0.3591 0.5535
8 Cl 0.3056 0.7521 0.9465
9 Cl 0.6944 0.2479 0.0535
10 Cl 0.6944 0.6409 0.4465
11 Cl 0.7572 0.1838 0.5734
12 Cl 0.8895 0.8162 0.0734

Computed properties:
DOS at the Fermi energy in states/eV per cell: 0.000
V in Å³/cell: 426

***

Least stable structure: run P

***

Run P
Below is a relaxed structure of Rb2BaPbCl6, with properties calculated at the PBE-GGA level.

Unit cell a=7.8762 b=8.2557 c=13.6985 alpha=90.00 beta=124.51 gamma=90.00
Positions (direct):
1 Rb 0.2242 0.0683 0.2491
2 Rb 0.2242 0.4317 0.7491
3 Rb 0.7758 0.5683 0.2509
4 Rb 0.7758 0.9317 0.7509
5 Ba 0.5000 0.0000 0.0000
6 Ba 0.5000 0.5000 0.5000
7 Pb 0.0000 0.0000 0.5000
8 Pb 0.0000 0.5000 0.0000
9 Cl 0.1252 0.2076 0.9351
10 Cl 0.1252 0.2924 0.4351
11 Cl 0.2323 0.6957 0.9372
12 Cl 0.2323 0.8043 0.4372
13 Cl 0.3623 0.0480 0.7419
14 Cl 0.3623 0.4520 0.2419
15 Cl 0.6377 0.5480 0.7581
16 Cl 0.6377 0.9520 0.2581
17 Cl 0.7677 0.1957 0.5628
18 Cl 0.7677 0.3043 0.0628
19 Cl 0.8748 0.7076 0.5649
20 Cl 0.8748 0.7924 0.0649

Computed properties:
DOS at the Fermi energy in states/eV per cell: 0.000
V in Å³/cell: 734

***

Run Q
Below is a relaxed structure of Rb2BaPbCl6, with properties calculated at the PBE-GGA level.

Unit cell a=8.2502 b=8.2502 c=8.2502 alpha=60.00 beta=60.00 gamma=60.00
Positions (direct):
1 Rb 0.2500 0.2500 0.2500
2 Rb 0.7500 0.7500 0.7500
3 Ba 0.0000 0.0000 0.0000
4 Pb 0.5000 0.5000 0.5000
5 Cl 0.2557 0.2557 0.7443
6 Cl 0.2557 0.7443 0.2557
7 Cl 0.2557 0.7443 0.7443
8 Cl 0.7443 0.2557 0.2557
9 Cl 0.7443 0.2557 0.7443
10 Cl 0.7443 0.7443 0.2557

Computed properties:
DOS at the Fermi energy in states/eV per cell: 0.000
V in Å³/cell: 397

***

Least stable structure: run Q

***

Run P
Below is a relaxed structure of BaPdCl2, with properties calculated at the PBE-GGA level.

Unit cell a=7.3442 b=7.3442 c=7.3442 alpha=90.00 beta=90.00 gamma=90.00
Positions (direct):
1 Ba 0.0000 0.0000 0.0000
2 Ba 0.0000 0.5000 0.5000
3 Ba 0.5000 0.0000 0.5000
4 Ba 0.5000 0.5000 0.0000
5 Pd 0.0000 0.0000 0.5000
6 Pd 0.0000 0.5000 0.0000
7 Pd 0.5000 0.0000 0.0000
8 Pd 0.5000 0.5000 0.5000
9 Cl 0.2500 0.2500 0.2500
10 Cl 0.2500 0.2500 0.7500
11 Cl 0.2500 0.7500 0.2500
12 Cl 0.2500 0.7500 0.7500
13 Cl 0.7500 0.2500 0.2500
14 Cl 0.7500 0.2500 0.7500
15 Cl 0.7500 0.7500 0.2500
16 Cl 0.7500 0.7500 0.7500

Computed properties:
DOS at the Fermi energy in states/eV per cell: 0.000
V in Å³/cell: 396

***

Run Q
Below is a relaxed structure of BaPdCl2, with properties calculated at the PBE-GGA level.

Unit cell a=5.2959 b=5.2959 c=16.8193 alpha=90.00 beta=90.00 gamma=90.00
Positions (direct):
1 Ba 0.0000 0.0000 0.0000
2 Ba 0.0000 0.5000 0.2500
3 Ba 0.5000 0.0000 0.7500
4 Ba 0.5000 0.5000 0.5000
5 Pd 0.0000 0.0000 0.5000
6 Pd 0.0000 0.5000 0.7500
7 Pd 0.5000 0.0000 0.2500
8 Pd 0.5000 0.5000 0.0000
9 Cl 0.1848 0.2500 0.6250
10 Cl 0.2500 0.6848 0.8750
11 Cl 0.2500 0.8152 0.3750
12 Cl 0.3152 0.2500 0.1250
13 Cl 0.6848 0.7500 0.1250
14 Cl 0.7500 0.1848 0.3750
15 Cl 0.7500 0.3152 0.8750
16 Cl 0.8152 0.7500 0.6250

Computed properties:
DOS at the Fermi energy in states/eV per cell: 0.000
V in Å³/cell: 472

***

Run R
Below is a relaxed structure of BaPdCl2, with properties calculated at the PBE-GGA level.

Unit cell a=4.3726 b=4.3726 c=24.0502 alpha=90.00 beta=90.00 gamma=120.00
Positions (direct):
1 Ba 0.0000 0.0000 0.0000
2 Ba 0.3333 0.6667 0.6667
3 Ba 0.6667 0.3333 0.3333
4 Pd 0.0000 0.0000 0.5000
5 Pd 0.3333 0.6667 0.1667
6 Pd 0.6667 0.3333 0.8333
7 Cl 0.0000 0.0000 0.1212
8 Cl 0.0000 0.0000 0.8788
9 Cl 0.3333 0.6667 0.5455
10 Cl 0.3333 0.6667 0.7879
11 Cl 0.6667 0.3333 0.2121
12 Cl 0.6667 0.3333 0.4545

Computed properties:
DOS at the Fermi energy in states/eV per cell: 20.677
V in Å³/cell: 398

***

Least stable structure: run R

***

Run P
Below is a relaxed structure of BaPdCl6, with properties calculated at the PBE-GGA level.

Unit cell a=7.7760 b=9.7977 c=6.2746 alpha=90.00 beta=112.00 gamma=90.00
Positions (direct):
1 Ba 0.0000 0.0000 0.0000
2 Ba 0.5000 0.5000 0.0000
3 Pd 0.0000 0.5000 0.5000
4 Pd 0.5000 0.0000 0.5000
5 Cl 0.1191 0.3322 0.7869
6 Cl 0.1191 0.6678 0.7869
7 Cl 0.2132 0.0000 0.5471
8 Cl 0.2868 0.5000 0.4529
9 Cl 0.3809 0.1678 0.2131
10 Cl 0.3809 0.8322 0.2131
11 Cl 0.6191 0.1678 0.7869
12 Cl 0.6191 0.8322 0.7869
13 Cl 0.7132 0.5000 0.5471
14 Cl 0.7868 0.0000 0.4529
15 Cl 0.8809 0.3322 0.2131
16 Cl 0.8809 0.6678 0.2131

Computed properties:
V in Å³/cell: 443

***

Run Q
Below is a relaxed structure of BaPdCl6, with properties calculated at the PBE-GGA level.

Unit cell a=6.5752 b=6.5953 c=7.1701 alpha=90.17 beta=117.10 gamma=119.83
Positions (direct):
1 Ba 0.0000 0.0000 0.0000
2 Pd 0.0000 0.5000 0.5000
3 Cl 0.1754 0.4987 0.2788
4 Cl 0.2184 0.3240 0.7213
5 Cl 0.3956 0.8930 0.7229
6 Cl 0.6044 0.1070 0.2771
7 Cl 0.7816 0.6760 0.2787
8 Cl 0.8246 0.5013 0.7212

Computed properties:
V in Å³/cell: 229

***

Least stable structure: run Q